Entry 1:
Density functional theory data (PBE-GGA) for a relaxed structure of HgPb3Cl2F6.

## Properties
DOS(E_F), states/eV per cell: 0.000
Calculated total energy, eV for the cell shown: -47.531
Formation energy from raw total energies, meV per atom: -1765

abc: 5.4481 7.6098 7.7838
angles: 119.26 81.78 90.00
Last column: nearest neighbours and their distance in Å.
Element x y z (fractional)
Pb  0.5000  0.0000  0.5000  4 F 2.48-2.49
Pb  0.5000  0.5000  0.5000  4 F 2.48-2.49
Pb  0.0000  0.5000  0.0000  4 F 2.52
Hg  0.5000  0.0000  0.0000  2 F 2.19
F  0.6553  0.8405  0.6810  1 Hg 2.19
F  0.3447  0.1595  0.3190  1 Hg 2.19
F  0.2936  0.6667  0.8534  2 Pb 2.48-2.52, 1 Hg 2.56
F  0.2936  0.1867  0.8534  2 Pb 2.48-2.52, 1 Hg 2.56
F  0.7064  0.3333  0.1466  2 Pb 2.48-2.52, 1 Hg 2.56
F  0.7064  0.8133  0.1466  2 Pb 2.48-2.52, 1 Hg 2.56
Cl  0.8569  0.3035  0.6071  3 Pb 2.90, 1 F 3.03
Cl  0.1431  0.6965  0.3929  3 Pb 2.90, 1 F 3.03

***

Entry 2:
Density functional theory data (PBE-GGA) for a relaxed structure of La6IrOs2.

## Properties
DOS(E_F), states/eV per cell: 5.185
Energy relative to the elements, eV per atom: -0.2810
Calculated total energy, eV for the cell shown: -63.414

abc: 6.6503 7.1453 7.1453
angles: 120.00 90.00 90.00
Last column: nearest neighbours and their distance in Å.
Element x y z (fractional)
Os  0.5000  0.3333  0.6667  6 La 2.86
Os  0.5000  0.6667  0.3333  6 La 2.86
La  0.2604  0.0000  0.6655  2 Os 2.86, 1 Ir 2.95
La  0.7396  0.0000  0.3345  2 Os 2.86, 1 Ir 2.95
La  0.7396  0.3345  0.0000  2 Os 2.86, 1 Ir 2.95
La  0.2604  0.3345  0.3345  2 Os 2.86, 1 Ir 2.95
La  0.2604  0.6655  0.0000  2 Os 2.86, 1 Ir 2.95
La  0.7396  0.6655  0.6655  2 Os 2.86, 1 Ir 2.95
Ir  0.0000  0.0000  0.0000  6 La 2.95